No. 1
# TiTe2IO PBE-GGA optimized geometry
# **Formation energy from raw total energies**: 0.15 eV/atom
# **Raw total energy**: -3.9882 eV per atom
# **Calculated density**: 5.99 Mg/m³
data_TiTe2IO
_chemical_formula_sum 'Ti1 Te2 I1 O1'
_space_group_name_H-M_alt 'P 4/m m m'
_space_group_IT_number 123
_space_group_name_Hall '-P 4 2'
_cell_length_a 4.489
_cell_length_b 4.489
_cell_length_c 6.132
_cell_angle_alpha 90.00
_cell_angle_beta 90.00
_cell_angle_gamma 90.00
loop_
_atom_site_label
_atom_site_fract_x
_atom_site_fract_y
_atom_site_fract_z
Ti1 0.000 0.000 0.000
Te1 0.000 0.500 0.500
I1 0.500 0.500 0.000
O1 0.500 0.500 0.500

No. 2
# TiTeIO2 PBE-GGA optimized geometry
# **Formation energy from raw total energies**: -0.90 eV/atom
# **Raw total energy**: -5.4017 eV per atom
# **Calculated density**: 5.44 Mg/m³
data_TiTeIO2
_chemical_formula_sum 'Ti1 Te1 I1 O2'
_space_group_name_H-M_alt 'P 4/m m m'
_space_group_IT_number 123
_space_group_name_Hall '-P 4 2'
_cell_length_a 4.027
_cell_length_b 4.027
_cell_length_c 6.296
_cell_angle_alpha 90.00
_cell_angle_beta 90.00
_cell_angle_gamma 90.00
loop_
_atom_site_label
_atom_site_fract_x
_atom_site_fract_y
_atom_site_fract_z
Ti1 0.000 0.000 0.000
Te1 0.500 0.500 0.500
I1 0.000 0.000 0.500
O1 0.000 0.500 0.000

No. 3
# TiTeIO2 PBE-GGA optimized geometry
# **Formation energy from raw total energies**: -0.09 eV/atom
# **Raw total energy**: -4.5869 eV per atom
# **Calculated density**: 4.93 Mg/m³
data_TiTeIO2
_chemical_formula_sum 'Ti1 Te1 I1 O2'
_space_group_name_H-M_alt 'P 4/m m m'
_space_group_IT_number 123
_space_group_name_Hall '-P 4 2'
_cell_length_a 4.131
_cell_length_b 4.131
_cell_length_c 6.601
_cell_angle_alpha 90.00
_cell_angle_beta 90.00
_cell_angle_gamma 90.00
loop_
_atom_site_label
_atom_site_fract_x
_atom_site_fract_y
_atom_site_fract_z
Ti1 0.000 0.000 0.000
Te1 0.500 0.500 0.500
I1 0.500 0.500 0.000
O1 0.000 0.500 0.500

No. 4
# TiTeI2O PBE-GGA optimized geometry
# **Formation energy from raw total energies**: -0.73 eV/atom
# **Raw total energy**: -4.5499 eV per atom
# **Calculated density**: 5.84 Mg/m³
data_TiTeI2O
_chemical_formula_sum 'Ti1 Te1 I2 O1'
_space_group_name_H-M_alt 'P 4/m m m'
_space_group_IT_number 123
_space_group_name_Hall '-P 4 2'
_cell_length_a 5.804
_cell_length_b 5.804
_cell_length_c 3.759
_cell_angle_alpha 90.00
_cell_angle_beta 90.00
_cell_angle_gamma 90.00
loop_
_atom_site_label
_atom_site_fract_x
_atom_site_fract_y
_atom_site_fract_z
Ti1 0.000 0.000 0.000
Te1 0.500 0.500 0.500
I1 0.000 0.500 0.000
O1 0.000 0.000 0.500

No. 5
# TiTeI2O PBE-GGA optimized geometry
# **Formation energy from raw total energies**: 0.34 eV/atom
# **Raw total energy**: -3.4741 eV per atom
# **Calculated density**: 4.84 Mg/m³
data_TiTeI2O
_chemical_formula_sum 'Ti1 Te1 I2 O1'
_space_group_name_H-M_alt 'P 4/m m m'
_space_group_IT_number 123
_space_group_name_Hall '-P 4 2'
_cell_length_a 6.149
_cell_length_b 6.149
_cell_length_c 4.042
_cell_angle_alpha 90.00
_cell_angle_beta 90.00
_cell_angle_gamma 90.00
loop_
_atom_site_label
_atom_site_fract_x
_atom_site_fract_y
_atom_site_fract_z
Ti1 0.000 0.000 0.000
Te1 0.500 0.500 0.500
I1 0.000 0.500 0.500
O1 0.500 0.500 0.000

No. 6
# TiTeI2O PBE-GGA optimized geometry
# **Formation energy from raw total energies**: 0.49 eV/atom
# **Raw total energy**: -3.3268 eV per atom
# **Calculated density**: 6.10 Mg/m³
data_TiTeI2O
_chemical_formula_sum 'Ti1 Te1 I2 O1'
_space_group_name_H-M_alt 'P 4/m m m'
_space_group_IT_number 123
_space_group_name_Hall '-P 4 2'
_cell_length_a 5.232
_cell_length_b 5.232
_cell_length_c 4.431
_cell_angle_alpha 90.00
_cell_angle_beta 90.00
_cell_angle_gamma 90.00
loop_
_atom_site_label
_atom_site_fract_x
_atom_site_fract_y
_atom_site_fract_z
Ti1 0.000 0.000 0.000
Te1 0.500 0.500 0.000
I1 0.000 0.500 0.500
O1 0.500 0.500 0.500

No. 7
# Ti4Te9I4O PBE-GGA optimized geometry
# **Formation energy from raw total energies**: -0.77 eV/atom
# **Raw total energy**: -4.7186 eV per atom
# **Calculated density**: 4.97 Mg/m³
data_Ti4Te9I4O
_chemical_formula_sum 'Ti16 Te36 I16 O4'
_space_group_name_H-M_alt 'C 1 2/c 1'
_space_group_IT_number 15
_cell_length_a 23.219
_cell_length_b 6.343
_cell_length_c 20.221
_cell_angle_alpha 90.00
_cell_angle_beta 123.20
_cell_angle_gamma 90.00
loop_
_space_group_symop_operation_xyz
'x,y,z'
'-x,-y,-z'
'-x,y,-z+1/2'
'x,-y,z+1/2'
'x+1/2,y+1/2,z'
'-x+1/2,-y+1/2,-z'
'-x+1/2,y+1/2,-z+1/2'
'x+1/2,-y+1/2,z+1/2'
loop_
_atom_site_label
_atom_site_fract_x
_atom_site_fract_y
_atom_site_fract_z
Ti1 0.064 0.060 0.360
Ti2 0.073 0.332 0.234
Te1 0.000 0.304 0.750
Te2 0.030 0.375 0.429
Te3 0.051 0.017 0.126
Te4 0.162 0.376 0.400
Te5 0.168 0.016 0.327
I1 0.142 0.177 0.995
I2 0.161 0.429 0.715
O1 0.000 0.196 0.250

No. 8
# TiTe2IO PBE-GGA optimized geometry
# **Formation energy from raw total energies**: 0.44 eV/atom
# **Raw total energy**: -3.6946 eV per atom
# **Calculated density**: 5.01 Mg/m³
data_TiTe2IO
_chemical_formula_sum 'Ti1 Te2 I1 O1'
_space_group_name_H-M_alt 'P 4/m m m'
_space_group_IT_number 123
_space_group_name_Hall '-P 4 2'
_cell_length_a 5.275
_cell_length_b 5.275
_cell_length_c 5.309
_cell_angle_alpha 90.00
_cell_angle_beta 90.00
_cell_angle_gamma 90.00
loop_
_atom_site_label
_atom_site_fract_x
_atom_site_fract_y
_atom_site_fract_z
Ti1 0.000 0.000 0.000
Te1 0.000 0.500 0.000
I1 0.000 0.000 0.500
O1 0.500 0.500 0.500

No. 9
# TiTeI2O PBE-GGA optimized geometry
# **Formation energy from raw total energies**: 0.40 eV/atom
# **Raw total energy**: -3.4238 eV per atom
# **Calculated density**: 4.79 Mg/m³
data_TiTeI2O
_chemical_formula_sum 'Ti1 Te1 I2 O1'
_space_group_name_H-M_alt 'P 4/m m m'
_space_group_IT_number 123
_space_group_name_Hall '-P 4 2'
_cell_length_a 5.370
_cell_length_b 5.370
_cell_length_c 5.348
_cell_angle_alpha 90.00
_cell_angle_beta 90.00
_cell_angle_gamma 90.00
loop_
_atom_site_label
_atom_site_fract_x
_atom_site_fract_y
_atom_site_fract_z
Ti1 0.000 0.000 0.000
Te1 0.000 0.000 0.500
I1 0.000 0.500 0.000
O1 0.500 0.500 0.500

No. 10
# TlTe2IO PBE-GGA optimized geometry
# **Formation energy from raw total energies**: -0.09 eV/atom
# **Raw total energy**: -3.1240 eV per atom
# **Calculated density**: 6.23 Mg/m³
data_TlTe2IO
_chemical_formula_sum 'Tl1 Te2 I1 O1'
_space_group_name_H-M_alt 'P 4/m m m'
_space_group_IT_number 123
_space_group_name_Hall '-P 4 2'
_cell_length_a 4.592
_cell_length_b 4.592
_cell_length_c 7.615
_cell_angle_alpha 90.00
_cell_angle_beta 90.00
_cell_angle_gamma 90.00
loop_
_atom_site_label
_atom_site_fract_x
_atom_site_fract_y
_atom_site_fract_z
Tl1 0.000 0.000 0.000
Te1 0.000 0.500 0.500
I1 0.500 0.500 0.000
O1 0.500 0.500 0.500

No. 11
# Tl2TeIO PBE-GGA optimized geometry
# **Formation energy from raw total energies**: 0.52 eV/atom
# **Raw total energy**: -2.3606 eV per atom
# **Calculated density**: 4.39 Mg/m³
data_Tl2TeIO
_chemical_formula_sum 'Tl2 Te1 I1 O1'
_space_group_name_H-M_alt 'P 4/m m m'
_space_group_IT_number 123
_space_group_name_Hall '-P 4 2'
_cell_length_a 6.620
_cell_length_b 6.620
_cell_length_c 5.862
_cell_angle_alpha 90.00
_cell_angle_beta 90.00
_cell_angle_gamma 90.00
loop_
_atom_site_label
_atom_site_fract_x
_atom_site_fract_y
_atom_site_fract_z
Tl1 0.000 0.500 0.000
Te1 0.000 0.000 0.000
I1 0.000 0.000 0.500
O1 0.500 0.500 0.500

No. 12
# TlTeIO2 PBE-GGA optimized geometry
# **Formation energy from raw total energies**: -0.33 eV/atom
# **Raw total energy**: -3.7249 eV per atom
# **Calculated density**: 6.77 Mg/m³
data_TlTeIO2
_chemical_formula_sum 'Tl1 Te1 I1 O2'
_space_group_name_H-M_alt 'P 4/m m m'
_space_group_IT_number 123
_space_group_name_Hall '-P 4 2'
_cell_length_a 4.357
_cell_length_b 4.357
_cell_length_c 6.342
_cell_angle_alpha 90.00
_cell_angle_beta 90.00
_cell_angle_gamma 90.00
loop_
_atom_site_label
_atom_site_fract_x
_atom_site_fract_y
_atom_site_fract_z
Tl1 0.000 0.000 0.000
Te1 0.500 0.500 0.500
I1 0.500 0.500 0.000
O1 0.000 0.500 0.500